TbPmGa | GGA-PBE | relaxed

```
TbPmGa
1.0
-2.764 -2.727 -3.188
1.788 -4.337 -1.799
-2.000 -4.358 1.502
Tb Ga Pm
1 1 1
direct
0.000 0.000 0.000
0.250 0.250 0.250
0.500 0.500 0.500
```

Computed properties:
ΔE to the lowest computed polymorph in meV/atom: 143.3
E_form in eV per atom: -0.241
Calculated density in g cm⁻³: 6.9